# 1
Here is RbZrAgTe3 after structural relaxation from OQMD via LeMat-Bulk. Energies are from PBE-GGA.

E (eV per cell): -106.37

```
RbZrAgTe3
1.0
16.452 0.000 0.000
0.000 4.260 0.000
0.000 0.000 11.401
Te Rb Ag Zr
12 4 4 4
Direct
0.098 0.250 0.866
0.915 0.250 0.433
0.134 0.250 0.268
0.866 0.750 0.732
0.902 0.750 0.134
0.634 0.250 0.232
0.366 0.750 0.768
0.402 0.750 0.366
0.585 0.750 0.933
0.415 0.250 0.067
0.598 0.250 0.634
0.085 0.750 0.567
0.765 0.250 0.953
0.235 0.750 0.047
0.735 0.750 0.453
0.265 0.250 0.547
0.486 0.750 0.593
0.014 0.250 0.093
0.986 0.750 0.907
0.514 0.250 0.407
0.985 0.250 0.678
0.015 0.750 0.322
0.515 0.750 0.178
0.485 0.250 0.822
```



# 2
Here is RbZrAgTe3 after structural relaxation from OQMD via LeMat-Bulk. Energies are from PBE-GGA.

E (eV per cell): -52.75

```
RbZrAgTe3
1.0
8.221 -2.106 0.000
8.221 2.106 0.000
0.000 0.000 11.197
Zr Te Rb Ag
2 6 2 2
Direct
0.000 0.000 0.000
0.000 0.000 0.500
0.376 0.376 0.037
0.376 0.376 0.463
0.070 0.070 0.250
0.624 0.624 0.537
0.930 0.930 0.750
0.624 0.624 0.963
0.244 0.244 0.750
0.756 0.756 0.250
0.541 0.541 0.750
0.459 0.459 0.250
```



# 3
Here is RbZrAgTe3 after structural relaxation from OQMD via LeMat-Bulk. Energies are from PBE-GGA.

E (eV per cell): -103.11

```
RbZrAgTe3
1.0
12.909 0.000 0.000
0.000 4.389 0.000
0.000 0.000 13.689
Rb Te Zr Ag
4 12 4 4
Direct
0.332 0.500 0.474
0.668 0.000 0.526
0.832 0.500 0.026
0.168 0.000 0.974
0.972 0.000 0.192
0.416 0.500 0.931
0.084 0.000 0.431
0.528 0.500 0.692
0.584 0.000 0.069
0.916 0.500 0.569
0.472 0.000 0.308
0.736 0.500 0.339
0.028 0.500 0.808
0.764 0.000 0.839
0.264 0.000 0.661
0.236 0.500 0.161
0.549 0.000 0.840
0.049 0.000 0.660
0.451 0.500 0.160
0.951 0.500 0.340
0.247 0.500 0.786
0.747 0.500 0.714
0.253 0.000 0.286
0.753 0.000 0.214
```



# 4
Here is RbZrAgTe3 after structural relaxation from OQMD via LeMat-Bulk. Energies are from PBE-GGA.

E (eV per cell): -105.66

```
RbZrAgTe3
1.0
-8.589 -4.929 5.851
-1.933 -0.956 -3.643
7.789 -14.090 -0.436
Te Zr Ag Rb
12 4 4 4
Direct
0.041 0.250 0.877
0.959 0.750 0.123
0.541 0.250 0.623
0.765 0.750 0.818
0.032 0.750 0.371
0.468 0.250 0.871
0.735 0.250 0.318
0.968 0.250 0.629
0.265 0.750 0.682
0.532 0.750 0.129
0.459 0.750 0.377
0.235 0.250 0.182
0.961 0.250 0.252
0.039 0.750 0.748
0.539 0.750 0.752
0.461 0.250 0.248
0.250 0.250 0.795
0.750 0.750 0.205
0.250 0.750 0.295
0.750 0.250 0.705
0.237 0.250 0.495
0.763 0.750 0.505
0.737 0.250 0.005
0.263 0.750 0.995
```



# 5
Here is RbZrAgTe3 after structural relaxation from OQMD via LeMat-Bulk. Energies are from PBE-GGA.

E (eV per cell): -51.35

```
RbZrAgTe3
1.0
-4.272 -7.298 5.028
-0.870 -6.511 7.324
-4.594 7.380 4.276
Te Ag Zr Rb
6 2 2 2
Direct
0.323 0.323 0.212
0.500 0.500 0.000
0.677 0.677 0.788
0.681 0.681 0.378
0.319 0.319 0.622
0.000 0.000 0.500
0.532 0.532 0.720
0.468 0.468 0.280
0.841 0.841 0.421
0.159 0.159 0.579
0.858 0.858 0.923
0.142 0.142 0.077
```



# 6
Here is RbZrAg3Te4 after structural relaxation from OQMD via LeMat-Bulk. Energies are from PBE-GGA.

Energy above the lowest structure with this stoichiometry (eV per formula unit): 0.26

```
RbZrAg3Te4
1.0
6.935 0.000 0.000
0.000 6.935 0.000
0.000 0.000 6.935
Te Ag Zr Rb
4 3 1 1
Direct
0.727 0.273 0.727
0.273 0.727 0.727
0.727 0.727 0.273
0.273 0.273 0.273
0.500 0.000 0.500
0.000 0.500 0.500
0.500 0.500 0.000
0.500 0.500 0.500
0.000 0.000 0.000
```



# 7
Here is RbThAg after structural relaxation from OQMD via LeMat-Bulk. Energies are from PBE-GGA.

E (eV per cell): -8.47

```
RbThAg
1.0
4.762 -2.434 0.166
0.294 -5.330 -0.363
1.997 -2.275 -4.412
Ag Th Rb
1 1 1
Direct
0.000 0.000 0.000
0.750 0.750 0.750
0.250 0.250 0.250
```



# 8
Here is RbTmAg after structural relaxation from OQMD via LeMat-Bulk. Energies are from PBE-GGA.

E (eV per cell): -5.88

```
RbTmAg
1.0
0.000 3.763 3.763
3.763 0.000 3.763
3.763 3.763 0.000
Ag Rb Tm
1 1 1
Direct
0.250 0.250 0.250
0.750 0.750 0.750
0.000 0.000 0.000
```



Please write out number 1 again, unchanged.
Here is RbZrAgTe3 after structural relaxation from OQMD via LeMat-Bulk. Energies are from PBE-GGA.

E (eV per cell): -106.37

```
RbZrAgTe3
1.0
16.452 0.000 0.000
0.000 4.260 0.000
0.000 0.000 11.401
Te Rb Ag Zr
12 4 4 4
Direct
0.098 0.250 0.866
0.915 0.250 0.433
0.134 0.250 0.268
0.866 0.750 0.732
0.902 0.750 0.134
0.634 0.250 0.232
0.366 0.750 0.768
0.402 0.750 0.366
0.585 0.750 0.933
0.415 0.250 0.067
0.598 0.250 0.634
0.085 0.750 0.567
0.765 0.250 0.953
0.235 0.750 0.047
0.735 0.750 0.453
0.265 0.250 0.547
0.486 0.750 0.593
0.014 0.250 0.093
0.986 0.750 0.907
0.514 0.250 0.407
0.985 0.250 0.678
0.015 0.750 0.322
0.515 0.750 0.178
0.485 0.250 0.822
```



Which formula does entry 8 have?
RbTmAg